(1)
Entry from Alexandria via LeMat-Bulk: a geometry-optimized Pm3HfTl3S8 structure (PBE).

Cell and atoms, written as extended XYZ:
```
15
Lattice="4.042 2.334 7.586 -4.042 2.334 7.586 0.000 -4.667 7.586" Properties=species:S:1:pos:R:3 pbc="T T T"
Pm -2.021 -1.167 7.586
Pm -2.021 1.167 15.173
Pm 0.000 2.334 7.586
Hf 0.000 0.000 0.000
Tl -4.042 0.000 11.380
Tl -2.021 1.167 3.793
Tl 2.021 1.167 3.793
S 0.000 -2.520 9.041
S -2.182 1.260 9.041
S -2.182 -1.260 13.718
S 0.000 0.000 6.040
S 0.000 0.000 16.719
S 2.182 1.260 9.041
S 2.182 -1.260 13.718
S 0.000 2.520 13.718
```

Magnetization (μB per cell): 0.0
Formation energy without anion corrections (eV/atom): -1.49
Space-group type: R-3m, No. 166
Theoretical density (g/cm3): 5.736
Volume (Å³ per cell): 429.4



(2)
Entry from Alexandria via LeMat-Bulk: a geometry-optimized Pm2HfTl2S6 structure (PBE).

Cell and atoms, written as extended XYZ:
```
11
Lattice="3.476 -5.965 0.000 3.476 5.965 0.000 -2.350 0.000 7.550" Properties=species:S:1:pos:R:3 pbc="T T T"
Pm 3.476 3.975 0.000
Pm 3.476 -3.975 0.000
Hf 3.476 0.000 0.000
Tl 2.301 2.023 3.775
Tl 2.301 -2.023 3.775
S 0.053 1.837 6.086
S 1.367 0.000 1.485
S 0.053 -1.837 6.086
S 4.550 1.837 1.465
S 3.236 0.000 6.066
S 4.550 -1.837 1.465
```

Magnetization (μB per cell): 0.0
Formation energy without anion corrections (eV/atom): -1.49
Space-group type: C2/m, No. 12
Theoretical density (g/cm3): 5.673
Volume (Å³ per cell): 313.1



(3)
Entry from Alexandria via LeMat-Bulk: a geometry-optimized Pm2HfTl3S6 structure (PBE).

Cell and atoms, written as extended XYZ:
```
12
Lattice="3.443 -5.942 0.000 3.443 5.942 0.000 -3.089 0.000 8.066" Properties=species:S:1:pos:R:3 pbc="T T T"
Pm 3.443 3.971 0.000
Pm 3.443 -3.971 0.000
Hf 3.443 0.000 0.000
Tl 1.898 3.891 4.033
Tl 1.898 0.000 4.033
Tl 1.898 -3.891 4.033
S -1.741 0.000 6.549
S 2.387 1.826 1.472
S 1.409 1.826 6.593
S 2.387 -1.826 1.472
S 1.409 -1.826 6.593
S 5.537 0.000 1.517
```

Magnetization (μB per cell): 0.0
Formation energy without anion corrections (eV/atom): -1.32
Space-group type: C2/m, No. 12
Theoretical density (g/cm3): 6.411
Volume (Å³ per cell): 330.0



(4)
Entry from Alexandria via LeMat-Bulk: a geometry-optimized Pm4HfSb5 structure (PBE).

Cell and atoms, written as extended XYZ:
```
10
Lattice="-2.209 2.209 15.553 2.209 -2.209 15.553 2.209 2.209 -15.553" Properties=species:S:1:pos:R:3 pbc="T T T"
Pm 0.000 0.000 3.103
Pm 0.000 0.000 9.392
Pm 0.000 0.000 21.713
Pm 0.000 0.000 28.002
Hf 0.000 0.000 15.553
Sb 0.000 0.000 0.000
Sb 0.000 0.000 6.224
Sb 0.000 0.000 12.629
Sb 0.000 0.000 18.477
Sb 0.000 0.000 24.882
```

Magnetization (μB per cell): 0.0
Formation energy without anion corrections (eV/atom): -0.99
Space-group type: I4/mmm, No. 139
Theoretical density (g/cm3): 7.477
Volume (Å³ per cell): 303.7



(5)
Entry from Alexandria via LeMat-Bulk: a geometry-optimized PmHfSb3 structure (PBE).

Cell and atoms, written as extended XYZ:
```
20
Lattice="13.418 0.000 0.000 0.000 6.378 0.000 0.000 0.000 6.367" Properties=species:S:1:pos:R:3 pbc="T T T"
Pm 2.423 0.072 1.592
Pm 2.423 3.117 4.776
Pm 10.995 3.261 1.592
Pm 10.995 6.306 4.776
Hf 5.490 4.784 0.000
Hf 5.490 4.784 3.184
Hf 7.928 1.595 0.000
Hf 7.928 1.595 3.184
Sb 0.042 4.784 0.000
Sb 0.042 4.784 3.184
Sb 3.517 3.243 1.592
Sb 3.517 6.324 4.776
Sb 5.622 0.788 1.592
Sb 5.622 2.401 4.776
Sb 7.796 3.977 1.592
Sb 7.796 5.590 4.776
Sb 9.900 0.054 1.592
Sb 9.900 3.135 4.776
Sb 13.376 1.595 0.000
Sb 13.376 1.595 3.184
```

Magnetization (μB per cell): 0.0
Formation energy without anion corrections (eV/atom): -0.70
Space-group type: Pbcm, No. 57
Theoretical density (g/cm3): 8.395
Volume (Å³ per cell): 544.9



(6)
Entry from Alexandria via LeMat-Bulk: a geometry-optimized TbPm2HfSb4 structure (PBE).

Cell and atoms, written as extended XYZ:
```
8
Lattice="7.554 0.000 0.000 0.000 4.361 0.000 -2.500 0.000 7.134" Properties=species:S:1:pos:R:3 pbc="T T T"
Tb 0.000 0.000 0.000
Pm -1.250 2.181 3.567
Pm 2.527 0.000 3.567
Hf 3.777 2.181 0.000
Sb 1.335 2.181 1.690
Sb 0.082 0.000 5.489
Sb 4.972 0.000 1.645
Sb 3.719 2.181 5.444
```

Magnetization (μB per cell): 0.0
Formation energy without anion corrections (eV/atom): -0.97
Space-group type: P2/m, No. 10
Theoretical density (g/cm3): 7.874
Volume (Å³ per cell): 235.0